Below is an optimized crystal structure of KCoF4, with properties calculated at the GGA+U level.

Values from the calculation:
VASP energy = -4.59 eV per atom
DOS(E_F) = 0.0 states/eV per cell
M_tot = 15.992 μB/cell

abc: 7.7156 7.7156 5.8795
angles: 90.00 90.00 90.00
Closest atoms and distances in Å follow each position.
Fractional positions:
K  0.0000  0.0000  0.0000  12 F 2.97-3.08
K  0.0000  0.5000  0.0691  8 F 2.66-2.78
K  0.5000  0.0000  0.9309  8 F 2.66-2.78
K  0.5000  0.5000  0.0000  12 F 2.97-3.08
Co  0.2492  0.2492  0.5000  6 F 1.82-2.03
Co  0.2508  0.7492  0.5000  6 F 1.82-2.03
Co  0.7492  0.2508  0.5000  6 F 1.82-2.03
Co  0.7508  0.7508  0.5000  6 F 1.82-2.03
F  0.0010  0.7613  0.3959  2 Co 2.02-2.03
F  0.1901  0.3067  0.7891  1 Co 1.82
F  0.1933  0.6901  0.7891  1 Co 1.82
F  0.2387  0.9990  0.6041  2 Co 2.02-2.03
F  0.2613  0.4990  0.3959  2 Co 2.02-2.03
F  0.3067  0.1901  0.2109  1 Co 1.82
F  0.3099  0.8067  0.2109  1 Co 1.82
F  0.4990  0.2613  0.6041  2 Co 2.02-2.03
F  0.5010  0.7387  0.6041  2 Co 2.02-2.03
F  0.6901  0.1933  0.2109  1 Co 1.82
F  0.6933  0.8099  0.2109  1 Co 1.82
F  0.7387  0.5010  0.3959  2 Co 2.02-2.03
F  0.7613  0.0010  0.6041  2 Co 2.02-2.03
F  0.8067  0.3099  0.7891  1 Co 1.82
F  0.8099  0.6933  0.7891  1 Co 1.82
F  0.9990  0.2387  0.3959  2 Co 2.02-2.03